Record 1
A plane-wave DFT calculation with PBE was carried out for a relaxed structure of LaH2Cl.

Cell lengths 4.322, 4.322, 4.322 Å; angles 60.00, 60.00, 60.00 degrees
Sites, in units of the cell vectors:
H1 0.750 0.750 0.750
H2 0.250 0.250 0.250
La1 0.500 0.500 0.500
Cl1 0.000 0.000 0.000

- energy above the lowest structure with this stoichiometry (meV per atom) = 271.0
- DOS at the Fermi energy (states/eV per atom) = 0.000
- size of the total moment (μB/f.u.) = 0.00
- calculated density (Mg/m³) = 5.1

=====

Record 2
A plane-wave DFT calculation with PBE was carried out for a relaxed structure of LaH2Cl4.

Cell lengths 3.719, 7.308, 10.411 Å; angles 138.34, 90.00, 90.00 degrees
Last column: magnetic moment on the atom in μB.
Sites, in units of the cell vectors:
Cl1 0.000 0.927 0.753  0.03
Cl2 0.500 0.582 0.235  0.00
Cl3 0.000 0.073 0.247  0.03
Cl4 0.500 0.418 0.765  0.00
La1 0.000 0.500 0.000  0.02
H1 0.500 0.065 0.244  0.07
H2 0.500 0.935 0.756  0.07

- DOS at the Fermi energy (states/eV per atom) = 0.288
- size of the total moment (μB/f.u.) = 0.45
- raw total energy (eV/atom) = -3.738
- calculated density (Mg/m³) = 2.5

=====

Record 3
A plane-wave DFT calculation with PBE was carried out for a relaxed structure of LaH2Cl3.

Cell lengths 7.682, 7.682, 7.790 Å; angles 90.00, 90.00, 120.00 degrees
Last column: magnetic moment on the atom in μB.
Sites, in units of the cell vectors:
H1 0.333 0.667 0.550  0.38
H2 0.667 0.333 0.450  0.38
H3 0.667 0.333 0.050  0.38
H4 0.333 0.667 0.950  0.38
Cl1 0.694 0.847 0.250  0.01
Cl2 0.847 0.694 0.750  0.01
Cl3 0.306 0.153 0.750  0.01
Cl4 0.153 0.306 0.250  0.01
Cl5 0.847 0.153 0.750  0.01
Cl6 0.153 0.847 0.250  0.01
La1 0.000 0.000 0.500  0.01
La2 0.000 0.000 0.000  0.01

- DOS at the Fermi energy (states/eV per atom) = 0.000
- size of the total moment (μB/f.u.) = 2.00
- raw total energy (eV/atom) = -3.642
- calculated density (Mg/m³) = 2.1

=====

Record 4
A plane-wave DFT calculation with PBE was carried out for a relaxed structure of La2MnHCl.

Cell lengths 5.206, 5.206, 3.547 Å; angles 90.00, 90.00, 90.00 degrees
Sites, in units of the cell vectors:
H1 0.000 0.000 0.500
La1 0.500 0.000 0.000
La2 0.000 0.500 0.000
Mn1 0.000 0.000 0.000
Cl1 0.500 0.500 0.500

- DOS at the Fermi energy (states/eV per atom) = 0.476
- size of the total moment (μB/f.u.) = 0.00
- raw total energy (eV/atom) = -5.222
- calculated density (Mg/m³) = 6.4

=====

Record 5
A plane-wave DFT calculation with PBE was carried out for a relaxed structure of La6H2N3Cl.

Cell lengths 3.752, 7.844, 8.691 Å; angles 106.29, 102.47, 90.00 degrees
Sites, in units of the cell vectors:
La1 0.322 0.933 0.644
La2 0.010 0.722 0.019
La3 0.661 0.600 0.323
La4 0.339 0.400 0.677
La5 0.678 0.067 0.356
La6 0.990 0.278 0.981
N1 0.833 0.171 0.667
N2 0.500 0.500 0.000
N3 0.167 0.829 0.333
Cl1 0.500 0.000 0.000
H1 0.169 0.334 0.337
H2 0.831 0.666 0.663

- DOS at the Fermi energy (states/eV per atom) = 0.451
- size of the total moment (μB/f.u.) = 0.00
- raw total energy (eV/atom) = -6.390
- calculated density (Mg/m³) = 6.3

=====

Record 6
A plane-wave DFT calculation with PBE was carried out for a relaxed structure of La4HNCl2.

Cell lengths 3.758, 6.498, 7.596 Å; angles 105.87, 90.00, 90.00 degrees
Sites, in units of the cell vectors:
N1 0.500 0.500 0.000
La1 0.000 0.720 0.195
La2 0.000 0.280 0.805
La3 0.500 0.251 0.201
La4 0.500 0.749 0.799
Cl1 0.000 0.500 0.500
Cl2 0.500 0.000 0.500
H1 0.000 0.000 0.000

- DOS at the Fermi energy (states/eV per atom) = 0.718
- size of the total moment (μB/f.u.) = 0.00
- raw total energy (eV/atom) = -5.649
- calculated density (Mg/m³) = 6.0

=====

Record 7
A plane-wave DFT calculation with PBE was carried out for a relaxed structure of LaH2ClO2.

Cell lengths 4.029, 5.948, 7.191 Å; angles 101.01, 90.00, 90.00 degrees
Sites, in units of the cell vectors:
O1 0.750 0.398 0.366
O2 0.750 0.952 0.622
O3 0.250 0.602 0.634
O4 0.250 0.048 0.378
Cl1 0.250 0.241 0.942
Cl2 0.750 0.759 0.058
H1 0.554 0.884 0.673
H2 0.446 0.116 0.327
H3 0.054 0.116 0.327
H4 0.946 0.884 0.673
La1 0.250 0.585 0.306
La2 0.750 0.415 0.694

- DOS at the Fermi energy (states/eV per atom) = 0.000
- size of the total moment (μB/f.u.) = 0.00
- raw total energy (eV/atom) = -5.896
- calculated density (Mg/m³) = 4.1

=====

Record 8
A plane-wave DFT calculation with PBE was carried out for a relaxed structure of La6HOs2Cl3.

Cell lengths 7.062, 7.062, 8.033 Å; angles 98.45, 98.45, 120.06 degrees
Sites, in units of the cell vectors:
Os1 0.334 0.666 0.000
Os2 0.666 0.334 0.000
La1 0.269 0.269 0.795
La2 0.068 0.406 0.206
La3 0.406 0.068 0.206
La4 0.932 0.594 0.794
La5 0.594 0.932 0.794
La6 0.731 0.731 0.205
Cl1 0.827 0.173 0.500
Cl2 0.500 0.500 0.500
Cl3 0.173 0.827 0.500
H1 0.000 0.000 0.000

- DOS at the Fermi energy (states/eV per atom) = 0.385
- size of the total moment (μB/f.u.) = 0.00
- raw total energy (eV/atom) = -6.071
- calculated density (Mg/m³) = 6.6

=====

Record 9
A plane-wave DFT calculation with PBE was carried out for a relaxed structure of La8P3HCl4.

Cell lengths 8.336, 8.380, 8.337 Å; angles 119.83, 120.00, 90.00 degrees
Sites, in units of the cell vectors:
La1 0.242 0.729 0.987
La2 0.758 0.271 0.515
La3 0.256 0.269 0.513
La4 0.744 0.731 0.487
La5 0.744 0.729 0.987
La6 0.242 0.729 0.485
La7 0.256 0.271 0.013
La8 0.758 0.271 0.013
Cl1 0.500 0.000 0.500
Cl2 0.000 0.000 0.000
Cl3 0.000 0.000 0.500
Cl4 0.500 0.000 0.000
P1 0.500 0.500 0.500
P2 0.000 0.500 0.500
P3 0.500 0.500 0.000
H1 0.000 0.500 0.000

- DOS at the Fermi energy (states/eV per atom) = 0.519
- size of the total moment (μB/f.u.) = 0.00
- raw total energy (eV/atom) = -5.643
- calculated density (Mg/m³) = 5.4

=====

Record 10
A plane-wave DFT calculation with PBE was carried out for a relaxed structure of LaP2HCl.

Cell lengths 3.973, 3.973, 5.392 Å; angles 90.00, 90.00, 90.00 degrees
Sites, in units of the cell vectors:
H1 0.000 0.000 0.000
La1 0.500 0.500 0.500
P1 0.500 0.000 0.000
P2 0.000 0.500 0.000
Cl1 0.000 0.000 0.500

- energy above the lowest structure with this stoichiometry (meV per atom) = 0.0
- DOS at the Fermi energy (states/eV per atom) = 0.448
- size of the total moment (μB/f.u.) = 0.00
- calculated density (Mg/m³) = 4.6